Entry 1:
! V2Cr2W3 (PBE-GGA, relaxed); values from VASP
! Calculated formation energy ... -0.0437 eV per atom
! ρ ... 12.691 g/cm³
&SYSTEM
  ibrav = 0, nat = 7, ntyp = 3
/
ATOMIC_SPECIES
V 50.94 V.upf
Cr 52.00 Cr.upf
W 183.84 W.upf
ATOMIC_POSITIONS angstrom
V 0.000 0.000 1.397
V 0.000 0.000 17.187
Cr 0.000 0.000 3.963
Cr 0.000 0.000 14.620
W 0.000 0.000 6.625
W 0.000 0.000 9.292
W 0.000 0.000 11.958
CELL_PARAMETERS angstrom
2.149 1.241 6.195
-2.149 1.241 6.195
0.000 -2.481 6.195


Entry 2:
! LaPrPtAu (PBE-GGA, relaxed); values from VASP
! Calculated formation energy ... -0.8948 eV per atom
! ρ ... 10.955 g/cm³
! Offset from the most stable computed form ... 88 meV/atom
&SYSTEM
  ibrav = 0, nat = 4, ntyp = 4
/
ATOMIC_SPECIES
La 138.91 La.upf
Pr 140.91 Pr.upf
Pt 195.08 Pt.upf
Au 196.97 Au.upf
ATOMIC_POSITIONS angstrom
La 0.000 0.000 0.000
Pr 3.706 3.706 3.706
Pt 5.560 5.560 5.560
Au 1.853 1.853 1.853
CELL_PARAMETERS angstrom
0.000 3.706 3.706
3.706 0.000 3.706
3.706 3.706 0.000


Entry 3:
! Tb5Ge2Bi2 (PBE-GGA, relaxed); values from VASP
! Calculated formation energy ... -0.8632 eV per atom
! ρ ... 9.015 g/cm³
&SYSTEM
  ibrav = 0, nat = 18, ntyp = 3
/
ATOMIC_SPECIES
Tb 158.93 Tb.upf
Ge 72.64 Ge.upf
Bi 208.98 Bi.upf
ATOMIC_POSITIONS angstrom
Tb 0.000 0.000 0.000
Tb 5.818 2.714 5.330
Tb 5.818 1.305 1.304
Tb 9.641 2.714 5.330
Tb 9.641 1.305 1.304
Tb 7.730 0.000 4.026
Tb 5.818 -1.305 6.747
Tb 5.818 -2.714 2.721
Tb 9.641 -1.305 6.747
Tb 9.641 -2.714 2.721
Ge 7.730 2.883 2.896
Ge 7.730 1.136 6.921
Ge 7.730 -1.136 1.130
Ge 7.730 -2.883 5.155
Bi 3.188 0.000 0.000
Bi 4.542 0.000 4.026
Bi 10.917 0.000 4.026
Bi 12.272 0.000 0.000
CELL_PARAMETERS angstrom
7.730 -4.019 0.000
7.730 4.019 0.000
0.000 0.000 8.051


Entry 4:
! Nb6TlO12 (PBE-GGA, relaxed); values from VASP
! ρ ... 7.073 g/cm³
! E_form (uncorrected) ... -2.065 eV per atom
&SYSTEM
  ibrav = 0, nat = 19, ntyp = 3
/
ATOMIC_SPECIES
Nb 92.91 Nb.upf
Tl 204.38 Tl.upf
O 16.00 O.upf
ATOMIC_POSITIONS angstrom
Nb 0.000 -2.273 2.908
Nb -1.969 1.137 2.908
Nb -1.969 -1.137 5.025
Nb 1.969 1.137 2.908
Nb 1.969 -1.137 5.025
Nb 0.000 2.273 5.025
Tl 0.000 0.000 0.000
O -1.812 -3.139 3.966
O -3.624 0.000 3.966
O -1.386 -0.800 2.987
O 1.386 -0.800 2.987
O 0.000 1.601 2.987
O 1.812 -3.139 3.966
O -1.812 3.139 3.966
O 0.000 -1.601 4.945
O -1.386 0.800 4.945
O 1.386 0.800 4.945
O 3.624 0.000 3.966
O 1.812 3.139 3.966
CELL_PARAMETERS angstrom
4.944 2.854 2.644
-4.944 2.854 2.644
0.000 -5.709 2.644


Entry 5:
! La2TcCl (PBE-GGA, relaxed); values from VASP
! ρ ... 6.762 g/cm³
! E_form (uncorrected) ... -0.568 eV per atom
! Offset from the most stable computed form ... 206 meV/atom
&SYSTEM
  ibrav = 0, nat = 4, ntyp = 3
/
ATOMIC_SPECIES
La 138.91 La.upf
Tc 98.00 Tc.upf
Cl 35.45 Cl.upf
ATOMIC_POSITIONS angstrom
La 2.027 1.925 0.000
La 2.027 -1.925 0.000
Tc -0.644 0.000 1.618
Cl 3.410 0.000 1.618
CELL_PARAMETERS angstrom
4.053 -3.850 0.000
4.053 3.850 0.000
-1.287 0.000 3.236


Entry 6:
! Ag2SbRu (PBE-GGA, relaxed); values from VASP
! ρ ... 10.069 g/cm³
! E_form (uncorrected) ... 0.304 eV per atom
&SYSTEM
  ibrav = 0, nat = 4, ntyp = 3
/
ATOMIC_SPECIES
Ag 107.87 Ag.upf
Sb 121.76 Sb.upf
Ru 101.07 Ru.upf
ATOMIC_POSITIONS angstrom
Ag 1.943 0.000 2.395
Ag 0.000 1.943 2.395
Sb 0.000 0.000 0.000
Ru 0.000 0.000 4.790
CELL_PARAMETERS angstrom
-1.943 1.943 4.790
1.943 -1.943 4.790
1.943 1.943 -4.790


- The lowest ρ belongs to which entry?
  La2TcCl


- Number 2 is which compound?
  LaPrPtAu